[1]
VASP calculation (PBE) on a geometry-optimized Pm2SmPd3 structure.

```
Pm2SmPd3
1.0
3.592 0.000 0.000
0.000 3.592 0.000
0.000 0.000 10.782
Pm Sm Pd
2 1 3
direct
0.000 0.000 0.167
0.000 0.000 0.833
0.000 0.000 0.500
0.500 0.500 0.000
0.500 0.500 0.336
0.500 0.500 0.664
```

Properties
formation energy from the elements = -0.772 eV per atom
space-group type = P4/mmm, No. 123
N(E_F) = 0.80 states/eV per atom
relative energy among the computed polymorphs = 0.02 eV per formula unit


[2]
VASP calculation (PBE) on a geometry-optimized PmSm2Pd2 structure.

```
PmSm2Pd2
1.0
8.019 0.000 0.000
0.000 8.019 0.000
0.000 0.000 3.964
Pm Sm Pd
2 4 4
direct
0.000 0.000 0.000
0.500 0.500 0.000
0.167 0.333 0.500
0.333 0.833 0.500
0.667 0.167 0.500
0.833 0.667 0.500
0.127 0.627 0.000
0.373 0.127 0.000
0.627 0.873 0.000
0.873 0.373 0.000
```

Properties
formation energy from the elements = -0.657 eV per atom
space-group type = P4/mbm, No. 127
N(E_F) = 0.80 states/eV per atom
relative energy among the computed polymorphs = 0.00 eV per formula unit